{
  "formula": "TiReRh3",
  "functional": "PBE",
  "state": "optimized geometry",
  "lattice": [[4.471, 0.000, 0.000], [0.000, 4.471, 0.000], [0.000, 0.000, 4.471]],
  "species": ["Ti", "Re", "Rh", "Rh", "Rh"],
  "fractional_positions": [[0.000, 0.000, 0.000], [0.500, 0.500, 0.500], [0.000, 0.000, 0.500], [0.000, 0.500, 0.000], [0.500, 0.000, 0.000]],
  "relative_energy_mev_per_atom": 0.0,
  "dft_energy_ev_per_cell": -36.97,
  "sg": "Pm-3m (221)"
}

{
  "formula": "TiReRh",
  "functional": "PBE",
  "state": "optimized geometry",
  "lattice": [[4.020, 0.000, 0.000], [0.000, 4.020, 0.000], [0.000, 0.000, 6.366]],
  "species": ["Ti", "Ti", "Re", "Re", "Rh", "Rh"],
  "fractional_positions": [[0.250, 0.250, 0.229], [0.750, 0.750, 0.771], [0.250, 0.750, 0.500], [0.750, 0.250, 0.500], [0.250, 0.750, 0.000], [0.750, 0.250, 0.000]],
  "dft_energy_ev_per_cell": -53.65,
  "sg": "P4/nmm (129)"
}

{
  "formula": "Ti2ReRh2",
  "functional": "PBE",
  "state": "optimized geometry",
  "lattice": [[7.288, 0.000, 0.000], [0.000, 7.288, 0.000], [0.000, 0.000, 2.868]],
  "species": ["Ti", "Ti", "Ti", "Ti", "Re", "Re", "Rh", "Rh", "Rh", "Rh"],
  "fractional_positions": [[0.169, 0.331, 0.000], [0.331, 0.831, 0.000], [0.669, 0.169, 0.000], [0.831, 0.669, 0.000], [0.000, 0.000, 0.500], [0.500, 0.500, 0.500], [0.132, 0.632, 0.500], [0.368, 0.132, 0.500], [0.632, 0.868, 0.500], [0.868, 0.368, 0.500]],
  "relative_energy_mev_per_atom": 0.0,
  "dft_energy_ev_per_cell": -89.16,
  "sg": "P4/mbm (127)"
}

The calculation returns the following formation enthalpy at 0 K values, one per record and in order: 1085; 289; -328 meV/atom.